No. 1
The following is a DFT calculation (GGA-PBE) of a relaxed structure of Ir2Ru2Pt.

Summary:
calculated formation energy: 0.2610 eV/atom

Structure (CIF):
```
data_Ir2Ru2Pt
_chemical_formula_sum 'Ir4 Ru4 Pt2'
_cell_length_a 7.4755
_cell_length_b 7.4755
_cell_length_c 2.7425
_cell_angle_alpha 90.00
_cell_angle_beta 90.00
_cell_angle_gamma 90.00
_symmetry_space_group_name_H-M 'P 4/m b m'
_symmetry_Int_Tables_number 127
_symmetry_space_group_name_Hall '-P 4 2ab'
loop_
_atom_site_label
_atom_site_type_symbol
_atom_site_fract_x
_atom_site_fract_y
_atom_site_fract_z
_atom_site_occupancy
Ir1 Ir 0.1241 0.3759 0.0000 1
Ru1 Ru 0.1715 0.6715 0.5000 1
Pt1 Pt 0.0000 0.0000 0.0000 1
```

***

No. 2
The following is a DFT calculation (GGA-PBE) of a relaxed structure of Sc2TcHg.

Summary:
calculated formation energy: 0.1663 eV/atom

Structure (CIF):
```
data_Sc2TcHg
_chemical_formula_sum 'Sc4 Tc2 Hg2'
_cell_length_a 3.5886
_cell_length_b 4.8862
_cell_length_c 9.2674
_cell_angle_alpha 90.00
_cell_angle_beta 90.00
_cell_angle_gamma 90.00
_symmetry_space_group_name_H-M 'C m m 2'
_symmetry_Int_Tables_number 35
loop_
_symmetry_equiv_pos_as_xyz
'x,y,z'
'-x,-y,z'
'-x,y,z'
'x,-y,z'
'x+1/2,y+1/2,z'
'-x+1/2,-y+1/2,z'
'-x+1/2,y+1/2,z'
'x+1/2,-y+1/2,z'
loop_
_atom_site_label
_atom_site_type_symbol
_atom_site_fract_x
_atom_site_fract_y
_atom_site_fract_z
_atom_site_occupancy
Sc1 Sc 0.0000 0.0000 0.0000 1
Sc2 Sc 0.0000 0.5000 0.2967 1
Tc1 Tc 0.0000 0.0000 0.5046 1
Hg1 Hg 0.0000 0.5000 0.7445 1
```

***

No. 3
The following is a DFT calculation (GGA-PBE) of a relaxed structure of CaTe2Ir.

Summary:
electronic total energy: -4.3689 eV/atom

Structure (CIF):
```
data_CaTe2Ir
_chemical_formula_sum 'Ca4 Te8 Ir4'
_cell_length_a 7.1733
_cell_length_b 7.1733
_cell_length_c 7.1733
_cell_angle_alpha 90.00
_cell_angle_beta 90.00
_cell_angle_gamma 90.00
_symmetry_space_group_name_H-M 'F m -3 m'
_symmetry_Int_Tables_number 225
_symmetry_space_group_name_Hall '-F 4 2 3'
loop_
_atom_site_label
_atom_site_type_symbol
_atom_site_fract_x
_atom_site_fract_y
_atom_site_fract_z
_atom_site_occupancy
Ca1 Ca 0.0000 0.0000 0.0000 1
Te1 Te 0.2500 0.2500 0.2500 1
Ir1 Ir 0.0000 0.0000 0.5000 1
```

***

No. 4
The following is a DFT calculation (GGA-PBE) of a relaxed structure of Tb2CeAl.

Summary:
calculated formation energy: -0.0280 eV/atom

Structure (CIF):
```
data_Tb2CeAl
_chemical_formula_sum 'Tb8 Ce4 Al4'
_cell_length_a 7.5539
_cell_length_b 7.5539
_cell_length_c 7.5539
_cell_angle_alpha 90.00
_cell_angle_beta 90.00
_cell_angle_gamma 90.00
_symmetry_space_group_name_H-M 'F -4 3 m'
_symmetry_Int_Tables_number 216
_symmetry_space_group_name_Hall 'F -4 2 3'
loop_
_atom_site_label
_atom_site_type_symbol
_atom_site_fract_x
_atom_site_fract_y
_atom_site_fract_z
_atom_site_occupancy
Tb1 Tb 0.0000 0.0000 0.0000 1
Tb2 Tb 0.2500 0.2500 0.2500 1
Ce1 Ce 0.2500 0.2500 0.7500 1
Al1 Al 0.0000 0.0000 0.5000 1
```

***

No. 5
The following is a DFT calculation (GGA-PBE) of a relaxed structure of Er4TlPb.

Summary:
calculated formation energy: -0.0292 eV/atom

Structure (CIF):
```
data_Er4TlPb
_chemical_formula_sum 'Er8 Tl2 Pb2'
_cell_length_a 10.7132
_cell_length_b 3.5710
_cell_length_c 10.6137
_cell_angle_alpha 90.00
_cell_angle_beta 116.57
_cell_angle_gamma 90.00
_symmetry_space_group_name_H-M 'C 1 2/m 1'
_symmetry_Int_Tables_number 12
loop_
_symmetry_equiv_pos_as_xyz
'x,y,z'
'-x,-y,-z'
'-x,y,-z'
'x,-y,z'
'x+1/2,y+1/2,z'
'-x+1/2,-y+1/2,-z'
'-x+1/2,y+1/2,-z'
'x+1/2,-y+1/2,z'
loop_
_atom_site_label
_atom_site_type_symbol
_atom_site_fract_x
_atom_site_fract_y
_atom_site_fract_z
_atom_site_occupancy
Er1 Er 0.1451 0.0000 0.3510 1
Er2 Er 0.1570 0.5000 0.8462 1
Tl1 Tl 0.0000 0.5000 0.5000 1
Pb1 Pb 0.0000 0.0000 0.0000 1
```

***

No. 6
The following is a DFT calculation (GGA-PBE) of a relaxed structure of Pr2AuBr2.

Summary:
electronic total energy: -4.5367 eV/atom

Structure (CIF):
```
data_Pr2AuBr2
_chemical_formula_sum 'Pr6 Au3 Br6'
_cell_length_a 4.2124
_cell_length_b 4.2124
_cell_length_c 33.6485
_cell_angle_alpha 90.00
_cell_angle_beta 90.00
_cell_angle_gamma 120.00
_symmetry_space_group_name_H-M 'R -3 m'
_symmetry_Int_Tables_number 166
_symmetry_space_group_name_Hall '-R 3 2"'
loop_
_atom_site_label
_atom_site_type_symbol
_atom_site_fract_x
_atom_site_fract_y
_atom_site_fract_z
_atom_site_occupancy
Pr1 Pr 0.0000 0.0000 0.1117 1
Au1 Au 0.0000 0.0000 0.5000 1
Br1 Br 0.0000 0.0000 0.2781 1
```

***

No. 7
The following is a DFT calculation (GGA-PBE) of a relaxed structure of V2FeRh4.

Summary:
calculated formation energy: -0.0930 eV/atom

Structure (CIF):
```
data_V2FeRh4
_chemical_formula_sum 'V4 Fe2 Rh8'
_cell_length_a 5.3761
_cell_length_b 6.5868
_cell_length_c 6.6359
_cell_angle_alpha 81.06
_cell_angle_beta 68.59
_cell_angle_gamma 67.24
_symmetry_space_group_name_H-M 'P 1'
_symmetry_Int_Tables_number 1
loop_
_symmetry_equiv_pos_as_xyz
'x,y,z'
loop_
_atom_site_label
_atom_site_type_symbol
_atom_site_fract_x
_atom_site_fract_y
_atom_site_fract_z
_atom_site_occupancy
V1 V 0.0000 0.0000 0.0000 1
V2 V 0.0954 0.4932 0.5095 1
V3 V 0.2699 0.9414 0.4577 1
V4 V 0.7846 0.9482 0.4308 1
Fe1 Fe 0.2700 0.4509 0.9481 1
Fe2 Fe 0.8021 0.4203 0.9554 1
Rh1 Rh 0.3294 0.7279 0.1546 1
Rh2 Rh 0.3379 0.1430 0.7344 1
Rh3 Rh 0.4903 0.0944 0.1088 1
Rh4 Rh 0.5121 0.6759 0.6771 1
Rh5 Rh 0.6081 0.3393 0.3469 1
Rh6 Rh 0.8270 0.6520 0.2330 1
Rh7 Rh 0.8298 0.2191 0.6591 1
Rh8 Rh 0.8945 0.7775 0.7853 1
```

***

No. 8
The following is a DFT calculation (GGA-PBE) of a relaxed structure of TaMn3Pd12.

Summary:
calculated formation energy: -0.3095 eV/atom

Structure (CIF):
```
data_TaMn3Pd12
_chemical_formula_sum 'Ta1 Mn3 Pd12'
_cell_length_a 3.9447
_cell_length_b 3.9447
_cell_length_c 15.6767
_cell_angle_alpha 90.00
_cell_angle_beta 90.00
_cell_angle_gamma 90.00
_symmetry_space_group_name_H-M 'P 4/m m m'
_symmetry_Int_Tables_number 123
_symmetry_space_group_name_Hall '-P 4 2'
loop_
_atom_site_label
_atom_site_type_symbol
_atom_site_fract_x
_atom_site_fract_y
_atom_site_fract_z
_atom_site_occupancy
Ta1 Ta 0.0000 0.0000 0.0000 1
Mn1 Mn 0.0000 0.0000 0.2547 1
Mn2 Mn 0.0000 0.0000 0.5000 1
Pd1 Pd 0.0000 0.5000 0.1234 1
Pd2 Pd 0.0000 0.5000 0.3759 1
Pd3 Pd 0.5000 0.5000 0.0000 1
Pd4 Pd 0.5000 0.5000 0.2499 1
Pd5 Pd 0.5000 0.5000 0.5000 1
```

***

Number 1: N(E_F) 1.441 states/eV per atom, V 153.3 Å³/cell. Number 2: N(E_F) 1.421 states/eV per atom, V 162.5 Å³/cell. Number 3: N(E_F) 1.662 states/eV per atom, V 369.1 Å³/cell. Number 4: N(E_F) 2.019 states/eV per atom, V 431.0 Å³/cell. Number 5: N(E_F) 1.495 states/eV per atom, V 363.2 Å³/cell. Number 6: N(E_F) 0.734 states/eV per atom, V 517.1 Å³/cell. Number 7: N(E_F) 0.952 states/eV per atom, V 201.7 Å³/cell. Number 8: N(E_F) 0.876 states/eV per atom, V 243.9 Å³/cell.